Below is an optimized crystal structure of AcGe2P, with properties calculated at the PBE-GGA level.

a b c (Å): 3.5979 3.5979 9.6678
angles (deg): 79.28 79.28 60.00
Last column: nearest neighbours and their distance in Å.
Positions (direct):
P1 0.5000 0.5000 0.5000  6 Ge 2.57
Ac1 0.0000 0.0000 0.0000  2 Ge 3.20
Ge1 0.1130 0.1130 0.6610  3 P 2.57
Ge2 0.8870 0.8870 0.3390  3 P 2.57

Symmetry: R-3m, No. 166
E_tot, eV per atom: -4.489
ρ, g cm⁻³: 6.33
Density of states at the Fermi level, states/eV/f.u.: 2.27
DFT formation energy, eV per atom: 0.20
ΔE to the lowest computed polymorph, meV per atom: 539